A relaxed CeTh2Zn crystal. Source: Alexandria, functional PBE.

abc: 4.5193 4.9044 4.9044
angles: 90.00 90.00 90.00
Closest atoms and distances in Å follow each position.
Element x y z (fractional)
Zn  0.5000  0.0000  0.0000  8 Th 3.33, 4 Ce 3.47
Ce  0.5000  0.5000  0.5000  8 Th 3.33, 4 Zn 3.47
Th  0.0000  0.0000  0.5000  4 Ce 3.33, 4 Zn 3.33, 4 Th 3.47
Th  0.0000  0.5000  0.0000  4 Ce 3.33, 4 Zn 3.33, 4 Th 3.47

- calculated total energy (eV/cell) = -22.02
- magnetic moment (μB per atom) = 0.027
- SG = P4/mmm
- ΔE to the lowest computed polymorph (meV per atom) = 25
- mass density (g cm⁻³) = 10.23
- calculated volume (A^3/atom) = 27.2

---

A relaxed KYRu2 crystal. Source: Alexandria, functional PBE.

abc: 7.1076 7.1076 7.1076
angles: 147.12 141.57 51.45
Closest atoms and distances in Å follow each position.
Element x y z (fractional)
Y  0.4773  0.4773  0.0000  6 Ru 2.80-3.11
K  0.2174  0.7174  0.5000  8 Ru 3.57-3.99, 4 Y 3.86-3.89
Ru  0.8575  0.3575  0.5000  2 Ru 2.32
Ru  0.9479  0.9479  0.0000  2 Ru 2.32

- calculated total energy (eV/cell) = -24.08
- magnetic moment (μB per atom) = 0.000
- SG = Imm2
- ΔE to the lowest computed polymorph (meV per atom) = 186
- mass density (g cm⁻³) = 4.55
- calculated volume (A^3/atom) = 30.1

---

A relaxed Sm3Si4Os2 crystal. Source: Alexandria, functional PBE.

abc: 4.2231 5.8681 8.1308
angles: 107.25 90.00 111.09
Closest atoms and distances in Å follow each position.
Element x y z (fractional)
Sm  0.3880  0.7761  0.3010  7 Si 2.95-3.15, 4 Os 3.14-3.18
Sm  0.6120  0.2239  0.6990  7 Si 2.95-3.15, 4 Os 3.14-3.18
Sm  0.0000  0.0000  0.0000  8 Si 3.12-3.32
Si  0.2789  0.5579  0.9197  1 Os 2.39, 2 Si 2.66
Si  0.7211  0.4421  0.0803  1 Os 2.39, 2 Si 2.66
Si  0.1058  0.2116  0.4086  3 Os 2.38-2.45
Si  0.8942  0.7884  0.5914  3 Os 2.38-2.45
Os  0.3127  0.6255  0.6428  4 Si 2.38-2.45
Os  0.6873  0.3745  0.3572  4 Si 2.38-2.45

- calculated total energy (eV/cell) = -64.73
- magnetic moment (μB per atom) = 0.000
- SG = C2/m
- mass density (g cm⁻³) = 8.79
- calculated volume (A^3/atom) = 19.8
- ΔE_f (raw) (eV per atom) = -0.713

---

A relaxed GdHoZnRu crystal. Source: Alexandria, functional PBE.

abc: 4.9262 4.9262 4.9262
angles: 60.00 60.00 60.00
Closest atoms and distances in Å follow each position.
Element x y z (fractional)
Zn  0.2500  0.2500  0.2500  4 Gd 3.02, 4 Ho 3.02
Gd  0.0000  0.0000  0.0000  4 Ru 3.02, 4 Zn 3.02
Ru  0.7500  0.7500  0.7500  4 Gd 3.02, 4 Ho 3.02
Ho  0.5000  0.5000  0.5000  4 Zn 3.02, 4 Ru 3.02

- calculated total energy (eV/cell) = -30.59
- magnetic moment (μB per atom) = 1.767
- SG = F-43m
- mass density (g cm⁻³) = 9.60
- calculated volume (A^3/atom) = 21.1